No. 1
A geometry-optimized CuClF structure. Source: the Alexandria database, functional PBE-GGA.

Computed properties:
The calculation puts the total energy at -10.70 eV/f.u. For the energy above the lowest structure with this stoichiometry, the calculation gives 21.7 meV per atom. The value obtained for the formation energy without anion corrections is -0.96 eV per atom. The symmetry is P-1. The total magnetic moment is 1.9 Bohr magnetons per cell.

Cell: 3.142 5.909 6.440 Å, 105.47 90.07 105.28°
Fractional positions:
Cu 0.226 0.450 0.219
Cu 0.774 0.550 0.781
Cl 0.391 0.787 0.694
Cl 0.609 0.213 0.306
F 0.178 0.356 0.835
F 0.822 0.644 0.165



No. 2
A geometry-optimized CuClF2 structure. Source: the Alexandria database, functional PBE-GGA.

Computed properties:
The calculation puts the total energy at -13.10 eV/f.u. For the energy above the lowest structure with this stoichiometry, the calculation gives 226.7 meV per atom. The value obtained for the formation energy without anion corrections is -0.85 eV per atom. The symmetry is R-3m. The total magnetic moment is 3.0 Bohr magnetons per cell.

Cell: 3.081 3.081 26.480 Å, 90.00 90.00 120.00°
Fractional positions:
Cu 0.000 0.000 0.000
Cu 0.333 0.667 0.667
Cu 0.667 0.333 0.333
Cl 0.000 0.000 0.500
Cl 0.333 0.667 0.167
Cl 0.667 0.333 0.833
F 0.000 0.000 0.370
F 0.000 0.000 0.630
F 0.333 0.667 0.037
F 0.333 0.667 0.297
F 0.667 0.333 0.703
F 0.667 0.333 0.963



No. 3
A geometry-optimized Cu2ClF3 structure. Source: the Alexandria database, functional PBE-GGA.

Computed properties:
The calculation puts the total energy at -22.84 eV/f.u. The value obtained for the formation energy without anion corrections is -1.20 eV per atom. The symmetry is Cmcm. The total magnetic moment is 3.7 Bohr magnetons per cell.

Cell: 5.012 5.012 6.465 Å, 90.00 90.00 96.19°
Fractional positions:
Cu 0.000 0.000 0.000
Cu 0.000 0.000 0.500
Cu 0.467 0.533 0.750
Cu 0.533 0.467 0.250
Cl 0.210 0.790 0.250
Cl 0.790 0.210 0.750
F 0.192 0.808 0.750
F 0.309 0.309 0.000
F 0.309 0.309 0.500
F 0.691 0.691 0.000
F 0.691 0.691 0.500
F 0.808 0.192 0.250



> The highest total magnetic moment belongs to which entry?

Cu2ClF3



> total magnetic moment of number 1 (CuClF)?

1.9 Bohr magnetons per cell



> The highest total magnetic moment belongs to which entry?

Cu2ClF3



> total magnetic moment of number 1 (CuClF)?

1.9 Bohr magnetons per cell